Computed, not measured: Pm8CdPd2 after structural relaxation at the PBE level of DFT.

## Properties
size of the total moment = 0.0000 μB per atom
polymorph energy (0 for the lowest one) = 0 meV/atom
calculated formation energy = -0.3228 eV/atom
uncorrected energy = -52.9 eV/cell

Lattice parameters (Å, degrees): 5.286 7.020 9.680 108.52 105.84 90.00
Fractional positions:
Pm (0.198, 0.337, 0.395)
Pm (0.802, 0.663, 0.605)
Pm (0.405, 0.520, 0.810)
Pm (0.030, 0.776, 0.060)
Pm (0.595, 0.480, 0.190)
Pm (0.970, 0.224, 0.940)
Pm (0.323, 0.999, 0.646)
Pm (0.677, 0.001, 0.354)
Pd (0.828, 0.274, 0.655)
Pd (0.172, 0.726, 0.345)
Cd (0.500, 0.000, 0.000)


Computed, not measured: LiCo2Si2 after structural relaxation at the PBE level of DFT.

## Properties
size of the total moment = 0.0000 μB per atom
energy relative to the elements, uncorrected = -378 meV per atom
uncorrected energy = -28.9 eV/cell

Lattice parameters (Å, degrees): 3.753 3.753 5.512 70.09 70.09 90.00
Fractional positions:
Co (0.750, 0.250, 0.500)
Co (0.250, 0.750, 0.500)
Si (0.624, 0.624, 0.752)
Si (0.376, 0.376, 0.248)
Li (0.000, 0.000, 0.000)